Record 1
Crystalline Pm6Pr5Tm2 at its relaxed geometry, computed with GGA-PBE.

Summary:
Uncorrected energy   -0.3402 Ry per atom
Calculated formation energy   0.09 eV/atom

a b c (Å): 3.6554 11.8062 21.0054
angles (deg): 90.00 90.00 90.00
Sites, in units of the cell vectors:
Pm: 0.0000 0.0824 0.3682
Pm: 0.0000 0.9176 0.6318
Pm: 0.0000 0.5824 0.1318
Pm: 0.0000 0.4176 0.8682
Pm: 0.5000 0.3261 0.1403
Pm: 0.5000 0.6739 0.8597
Pm: 0.5000 0.8261 0.3597
Pm: 0.5000 0.1739 0.6403
Pm: 0.0000 0.5635 0.4189
Pm: 0.0000 0.4365 0.5811
Pm: 0.0000 0.0635 0.0811
Pm: 0.0000 0.9365 0.9189
Pr: 0.5000 0.3030 0.4459
Pr: 0.5000 0.6970 0.5541
Pr: 0.5000 0.8030 0.0541
Pr: 0.5000 0.1970 0.9459
Pr: 0.5000 0.5851 0.2727
Pr: 0.5000 0.4149 0.7273
Pr: 0.5000 0.0851 0.2273
Pr: 0.5000 0.9149 0.7727
Pr: 0.5000 0.5000 0.0000
Pr: 0.5000 0.0000 0.5000
Tm: 0.0000 0.3295 0.2898
Tm: 0.0000 0.6705 0.7102
Tm: 0.0000 0.8295 0.2102
Tm: 0.0000 0.1705 0.7898

---

Record 2
Crystalline MgScBr2 at its relaxed geometry, computed with GGA-PBE.

Summary:
Energy above the most stable polymorph in this dataset   0.381 eV/atom
Uncorrected energy   -0.2513 Ry per atom
Uncorrected formation energy   -0.60 eV per atom

a b c (Å): 3.4898 6.3028 4.5073
angles (deg): 90.00 90.00 90.00
Sites, in units of the cell vectors:
Br: 0.0000 0.0000 0.0000
Br: 0.5000 0.5000 0.0000
Mg: 0.5000 0.0000 0.5000
Sc: 0.0000 0.5000 0.5000

---

Record 3
Crystalline LaYHo2S4 at its relaxed geometry, computed with GGA-PBE.

Summary:
Uncorrected energy   -0.4869 Ry per atom
Uncorrected formation energy   -1.99 eV per atom

a b c (Å): 5.6118 5.6118 6.8686
angles (deg): 114.10 114.10 90.03
Sites, in units of the cell vectors:
La: 0.9373 0.9373 0.0000
Y: 0.4372 0.4372 0.0000
Ho: 0.1871 0.6871 0.5000
Ho: 0.6871 0.1871 0.5000
S: 0.9372 0.4373 0.0000
S: 0.4373 0.9372 0.0000
S: 0.1934 0.1934 0.5128
S: 0.6807 0.6807 0.4872

---

Record 4
Crystalline Li4TaAg at its relaxed geometry, computed with GGA-PBE.

Summary:
Uncorrected energy   -0.2404 Ry per atom
Calculated formation energy   0.46 eV/atom

a b c (Å): 5.0413 5.0413 5.0413
angles (deg): 60.00 60.00 60.00
Site moments in Bohr magnetons follow the coordinates.
Sites, in units of the cell vectors:
Li: 0.8770 0.3744 0.3744  0.00
Li: 0.3744 0.3744 0.8770  0.00
Li: 0.3744 0.8770 0.3744  0.00
Li: 0.3744 0.3744 0.3744  0.00
Ta: 0.7500 0.7500 0.7500  0.31
Ag: 0.0000 0.0000 0.0000  0.01